16
Lattice="10.753 -0.607 -4.634 0.295 7.239 -0.263 -8.416 -2.932 10.515" Properties=species:S:1:pos:R:3 comment="CaTb4Pm2Dy (PBE-GGA, relaxed)" dft_energy_ev_per_cell=-68.6 pbc="T T T"
Ca 1.316 1.850 2.809
Ca 2.337 -3.539 5.881
Tb -5.832 2.291 8.187
Tb 3.600 -0.163 0.743
Tb -0.968 3.863 4.875
Tb 8.464 1.409 -2.569
Tb 8.696 4.964 -2.694
Tb 3.672 3.518 0.607
Tb -1.039 0.182 5.010
Tb -6.063 -1.264 8.312
Pm 5.377 -0.303 -2.317
Pm 1.169 -1.769 2.940
Pm -4.208 -1.466 5.258
Pm 5.524 3.316 -2.449
Dy 0.147 3.619 -0.132
Dy 6.693 1.547 0.491

=====

4
Lattice="5.786 0.000 0.000 2.893 5.011 0.000 2.893 1.670 4.725" Properties=species:S:1:pos:R:3 comment="CaTbPmDy (PBE-GGA, relaxed)" dft_energy_ev_per_cell=-15.4 pbc="T T T"
Ca 5.786 3.341 2.362
Pm 8.680 5.011 3.543
Tb 2.893 1.670 1.181
Dy 0.000 0.000 0.000

=====

12
Lattice="7.665 0.004 0.000 -3.828 6.641 0.000 -1.280 -2.217 7.403" Properties=species:S:1:pos:R:3 comment="Ca3Pm2DyTe6 (PBE-GGA, relaxed)" raw_formation_energy_ev_per_atom=-1.489 pbc="T T T"
Ca -2.523 4.409 3.701
Ca 5.080 0.018 3.701
Ca 1.279 2.214 3.701
Pm 0.016 4.421 0.000
Pm 3.821 2.223 0.000
Dy 0.000 0.000 0.000
Te 3.813 2.255 5.555
Te 2.583 4.473 1.863
Te -1.256 2.172 1.848
Te 0.048 4.430 5.555
Te -0.026 -0.046 5.540
Te 2.509 -0.002 1.848

=====

What did the third record say?
12
Lattice="7.665 0.004 0.000 -3.828 6.641 0.000 -1.280 -2.217 7.403" Properties=species:S:1:pos:R:3 comment="Ca3Pm2DyTe6 (PBE-GGA, relaxed)" raw_formation_energy_ev_per_atom=-1.489 pbc="T T T"
Ca -2.523 4.409 3.701
Ca 5.080 0.018 3.701
Ca 1.279 2.214 3.701
Pm 0.016 4.421 0.000
Pm 3.821 2.223 0.000
Dy 0.000 0.000 0.000
Te 3.813 2.255 5.555
Te 2.583 4.473 1.863
Te -1.256 2.172 1.848
Te 0.048 4.430 5.555
Te -0.026 -0.046 5.540
Te 2.509 -0.002 1.848